# GGA-PBE HoThTe2Se, optimized geometry
# **DFT total energy**: -0.41917 Ry/atom
data_HoThTe2Se
_chemical_formula_sum 'Ho2 Th2 Te4 Se2'
_space_group_name_H-M_alt 'P 4/n m m'
_space_group_IT_number 129
_cell_length_a 4.441
_cell_length_b 4.441
_cell_length_c 14.926
_cell_angle_alpha 90.00
_cell_angle_beta 90.00
_cell_angle_gamma 90.00
loop_
_space_group_symop_operation_xyz
'x,y,z'
'-x,-y,-z'
'-y+1/2,x,z'
'y+1/2,-x,-z'
'-x+1/2,-y+1/2,z'
'x+1/2,y+1/2,-z'
'y,-x+1/2,z'
'-y,x+1/2,-z'
'x+1/2,-y,-z'
'-x+1/2,y,z'
'-y,-x,-z'
'y,x,z'
'-x,y+1/2,-z'
'x,-y+1/2,z'
'y+1/2,x+1/2,-z'
'-y+1/2,-x+1/2,z'
loop_
_atom_site_label
_atom_site_type_symbol
_atom_site_fract_x
_atom_site_fract_y
_atom_site_fract_z
Ho1 Ho 0.250 0.250 0.085
Th1 Th 0.250 0.250 0.629
Te1 Te 0.250 0.250 0.293
Te2 Te 0.250 0.250 0.879
Se1 Se 0.250 0.750 0.500